Entry 1:
DFT (PBE) results for a relaxed structure of BaTe2Ir.

Calculated values
raw total energy	-4.913	eV per atom
energy relative to the lowest polymorph listed for this composition	47	meV per atom
space group	Immm
spin magnetization	0.000	μB/f.u.

Cell lengths 6.1032, 6.1032, 6.1032 Å; angles 141.27, 117.35, 76.14 degrees
With the nearest neighbours (Å) after each atom.
Sites, in units of the cell vectors:
1 Ba 0.0000 0.0000 0.0000  8 Te 3.60-3.71, 4 Ir 3.76
2 Te 0.3241 0.8241 0.5000  2 Ir 2.64
3 Te 0.6759 0.1759 0.5000  2 Ir 2.64
4 Ir 0.5000 0.5000 0.0000  4 Te 2.64

***

Entry 2:
DFT (PBE) results for a relaxed structure of BaTe2Ir2.

Calculated values
raw total energy	-5.556	eV per atom
energy relative to the lowest polymorph listed for this composition	0	meV per atom
space group	I4/mmm
spin magnetization	0.000	μB/f.u.

Cell lengths 6.1161, 6.1161, 6.1161 Å; angles 132.52, 132.52, 69.41 degrees
With the nearest neighbours (Å) after each atom.
Sites, in units of the cell vectors:
1 Ba 0.0000 0.0000 0.0000  8 Te 3.52, 10 Ir 3.67-3.74
2 Te 0.2500 0.7500 0.5000  4 Ir 2.72
3 Te 0.7500 0.2500 0.5000  4 Ir 2.72
4 Ir 0.3651 0.3651 0.0000  1 Ir 2.71, 4 Te 2.72
5 Ir 0.6349 0.6349 0.0000  1 Ir 2.71, 4 Te 2.72

***

Entry 3:
DFT (PBE) results for a relaxed structure of Ba12Te3Ir5.

Calculated values
raw total energy	-4.257	eV per atom
space group	Ia-3d
spin magnetization	0.000	μB/f.u.

Cell lengths 16.5911, 16.5911, 16.5911 Å; angles 109.47, 109.47, 109.47 degrees
With the nearest neighbours (Å) after each atom.
Sites, in units of the cell vectors:
1 Ba 0.0278 0.2060 0.1208  2 Ir 2.88-3.11
2 Ba 0.0278 0.3218 0.9070  2 Ir 2.88-3.11
3 Ba 0.0852 0.7060 0.6782  2 Ir 2.88-3.11
4 Ba 0.0852 0.8792 0.4070  2 Ir 2.88-3.11
5 Ba 0.0930 0.6208 0.4148  2 Ir 2.88-3.11
6 Ba 0.0930 0.9722 0.6782  2 Ir 2.88-3.11
7 Ba 0.1208 0.0278 0.2060  2 Ir 2.88-3.11
8 Ba 0.1208 0.5930 0.9148  2 Ir 2.88-3.11
9 Ba 0.1782 0.2060 0.5852  2 Ir 2.88-3.11
10 Ba 0.1782 0.4722 0.5930  2 Ir 2.88-3.11
11 Ba 0.2060 0.1208 0.0278  2 Ir 2.88-3.11
12 Ba 0.2060 0.5852 0.1782  2 Ir 2.88-3.11
13 Ba 0.2940 0.3218 0.9148  2 Ir 2.88-3.11
14 Ba 0.2940 0.4722 0.3792  2 Ir 2.88-3.11
15 Ba 0.3218 0.9070 0.0278  2 Ir 2.88-3.11
16 Ba 0.3218 0.9148 0.2940  2 Ir 2.88-3.11
17 Ba 0.3792 0.2940 0.4722  2 Ir 2.88-3.11
18 Ba 0.3792 0.5852 0.9070  2 Ir 2.88-3.11
19 Ba 0.4070 0.0852 0.8792  2 Ir 2.88-3.11
20 Ba 0.4070 0.8218 0.5278  2 Ir 2.88-3.11
21 Ba 0.4148 0.0930 0.6208  2 Ir 2.88-3.11
22 Ba 0.4148 0.8218 0.7940  2 Ir 2.88-3.11
23 Ba 0.4722 0.3792 0.2940  2 Ir 2.88-3.11
24 Ba 0.4722 0.5930 0.1782  2 Ir 2.88-3.11
25 Ba 0.5278 0.4070 0.8218  2 Ir 2.88-3.11
26 Ba 0.5278 0.6208 0.7060  2 Ir 2.88-3.11
27 Ba 0.5852 0.1782 0.2060  2 Ir 2.88-3.11
28 Ba 0.5852 0.9070 0.3792  2 Ir 2.88-3.11
29 Ba 0.5930 0.1782 0.4722  2 Ir 2.88-3.11
30 Ba 0.5930 0.9148 0.1208  2 Ir 2.88-3.11
31 Ba 0.6208 0.4148 0.0930  2 Ir 2.88-3.11
32 Ba 0.6208 0.7060 0.5278  2 Ir 2.88-3.11
33 Ba 0.6782 0.0852 0.7060  2 Ir 2.88-3.11
34 Ba 0.6782 0.0930 0.9722  2 Ir 2.88-3.11
35 Ba 0.7060 0.5278 0.6208  2 Ir 2.88-3.11
36 Ba 0.7060 0.6782 0.0852  2 Ir 2.88-3.11
37 Ba 0.7940 0.4148 0.8218  2 Ir 2.88-3.11
38 Ba 0.7940 0.8792 0.9722  2 Ir 2.88-3.11
39 Ba 0.8218 0.5278 0.4070  2 Ir 2.88-3.11
40 Ba 0.8218 0.7940 0.4148  2 Ir 2.88-3.11
41 Ba 0.8792 0.4070 0.0852  2 Ir 2.88-3.11
42 Ba 0.8792 0.9722 0.7940  2 Ir 2.88-3.11
43 Ba 0.9070 0.0278 0.3218  2 Ir 2.88-3.11
44 Ba 0.9070 0.3792 0.5852  2 Ir 2.88-3.11
45 Ba 0.9148 0.1208 0.5930  2 Ir 2.88-3.11
46 Ba 0.9148 0.2940 0.3218  2 Ir 2.88-3.11
47 Ba 0.9722 0.6782 0.0930  2 Ir 2.88-3.11
48 Ba 0.9722 0.7940 0.8792  2 Ir 2.88-3.11
49 Te 0.1250 0.2500 0.3750  8 Ba 3.68-3.78
50 Te 0.1250 0.3750 0.7500  8 Ba 3.68-3.78
51 Te 0.2500 0.3750 0.1250  8 Ba 3.68-3.78
52 Te 0.2500 0.8750 0.6250  8 Ba 3.68-3.78
53 Te 0.3750 0.1250 0.2500  8 Ba 3.68-3.78
54 Te 0.3750 0.7500 0.1250  8 Ba 3.68-3.78
55 Te 0.6250 0.2500 0.8750  8 Ba 3.68-3.78
56 Te 0.6250 0.8750 0.7500  8 Ba 3.68-3.78
57 Te 0.7500 0.1250 0.3750  8 Ba 3.68-3.78
58 Te 0.7500 0.6250 0.8750  8 Ba 3.68-3.78
59 Te 0.8750 0.6250 0.2500  8 Ba 3.68-3.78
60 Te 0.8750 0.7500 0.6250  8 Ba 3.68-3.78
61 Ir 0.0000 0.0000 0.0000  6 Ba 3.11
62 Ir 0.0000 0.0000 0.5000  6 Ba 3.11
63 Ir 0.0000 0.5000 0.0000  6 Ba 3.11
64 Ir 0.0000 0.5000 0.5000  6 Ba 3.11
65 Ir 0.1250 0.7500 0.8750  4 Ba 2.88
66 Ir 0.1250 0.8750 0.2500  4 Ba 2.88
67 Ir 0.2500 0.1250 0.8750  4 Ba 2.88
68 Ir 0.2500 0.6250 0.3750  4 Ba 2.88
69 Ir 0.3750 0.2500 0.6250  4 Ba 2.88
70 Ir 0.3750 0.6250 0.7500  4 Ba 2.88
71 Ir 0.5000 0.0000 0.0000  6 Ba 3.11
72 Ir 0.5000 0.0000 0.5000  6 Ba 3.11
73 Ir 0.5000 0.5000 0.0000  6 Ba 3.11
74 Ir 0.5000 0.5000 0.5000  6 Ba 3.11
75 Ir 0.6250 0.3750 0.2500  4 Ba 2.88
76 Ir 0.6250 0.7500 0.3750  4 Ba 2.88
77 Ir 0.7500 0.3750 0.6250  4 Ba 2.88
78 Ir 0.7500 0.8750 0.1250  4 Ba 2.88
79 Ir 0.8750 0.1250 0.7500  4 Ba 2.88
80 Ir 0.8750 0.2500 0.1250  4 Ba 2.88

***

Entry 4:
DFT (PBE) results for a relaxed structure of BaTe2Ir.

Calculated values
raw total energy	-4.824	eV per atom
energy relative to the lowest polymorph listed for this composition	137	meV per atom
space group	R-3m
spin magnetization	0.000	μB/f.u.

Cell lengths 7.3119, 7.3119, 7.3119 Å; angles 35.30, 35.30, 35.30 degrees
With the nearest neighbours (Å) after each atom.
Sites, in units of the cell vectors:
1 Ba 0.0000 0.0000 0.0000  6 Te 3.44
2 Te 0.2215 0.2215 0.2215  3 Ir 2.80
3 Te 0.7785 0.7785 0.7785  3 Ir 2.80
4 Ir 0.5000 0.5000 0.5000  6 Te 2.80

***

Entry 5:
DFT (PBE) results for a relaxed structure of BaTe2Ir.

Calculated values
raw total energy	-4.165	eV per atom
energy relative to the lowest polymorph listed for this composition	795	meV per atom
space group	I-4m2
spin magnetization	0.000	μB/f.u.

Cell lengths 6.1382, 6.1382, 6.1382 Å; angles 135.96, 135.96, 64.05 degrees
With the nearest neighbours (Å) after each atom.
Sites, in units of the cell vectors:
1 Ba 0.0000 0.0000 0.0000  8 Te 3.25-3.47, 4 Ir 3.47
2 Te 0.5000 0.5000 0.0000  4 Ba 3.25, 4 Te 3.47, 4 Ir 3.47
3 Te 0.7500 0.2500 0.5000  4 Ir 3.25, 4 Ba 3.47, 4 Te 3.47
4 Ir 0.2500 0.7500 0.5000  8 Te 3.25-3.47, 4 Ba 3.47

***

Entry 6:
DFT (PBE) results for a relaxed structure of BaTe2Ir.

Calculated values
raw total energy	-4.513	eV per atom
energy relative to the lowest polymorph listed for this composition	448	meV per atom
space group	Cmmm
spin magnetization	0.323	μB/f.u.

Cell lengths 4.4872, 4.4872, 8.1242 Å; angles 90.00, 90.00, 123.34 degrees
With the nearest neighbours (Å) after each atom.
Sites, in units of the cell vectors:
1 Ba 0.0000 0.0000 0.0000  4 Te 3.28
2 Te 0.5000 0.5000 0.3074  2 Ir 2.64
3 Te 0.5000 0.5000 0.6926  2 Ir 2.64
4 Ir 0.0000 0.0000 0.5000  4 Te 2.64

***

Entry 7:
DFT (PBE) results for a relaxed structure of Ba4TeIr.

Calculated values
raw total energy	-2.809	eV per atom
energy relative to the lowest polymorph listed for this composition	1040	meV per atom
space group	F-43m
spin magnetization	0.000	μB/f.u.

Cell lengths 6.8638, 6.8638, 6.8638 Å; angles 60.00, 60.00, 60.00 degrees
With the nearest neighbours (Å) after each atom.
Sites, in units of the cell vectors:
1 Ba 0.1244 0.1244 0.1244  6 Ba 3.42-3.45
2 Ba 0.1244 0.1244 0.6268  6 Ba 3.42-3.45
3 Ba 0.1244 0.6268 0.1244  6 Ba 3.42-3.45
4 Ba 0.6268 0.1244 0.1244  6 Ba 3.42-3.45
5 Te 0.5000 0.5000 0.5000  12 Ba 4.03, 4 Ir 4.20
6 Ir 0.7500 0.7500 0.7500  12 Ba 4.02, 4 Te 4.20

***

Entry 8:
DFT (PBE) results for a relaxed structure of BaTe2Ir.

Calculated values
raw total energy	-4.755	eV per atom
energy relative to the lowest polymorph listed for this composition	205	meV per atom
space group	Pm
spin magnetization	0.000	μB/f.u.

Cell lengths 5.3418, 4.4692, 6.2511 Å; angles 90.00, 111.64, 90.00 degrees
With the nearest neighbours (Å) after each atom.
Sites, in units of the cell vectors:
1 Ba 0.0000 0.0000 0.0000  7 Te 3.49-3.63, 2 Ir 3.71
2 Te 0.3318 0.0000 0.5964  2 Ir 2.53
3 Te 0.5590 0.5000 0.1560  1 Ir 2.57
4 Ir 0.5331 0.5000 0.5583  3 Te 2.53-2.57

***

Entry 9:
DFT (PBE) results for a relaxed structure of BaTe2Ir.

Calculated values
raw total energy	-4.273	eV per atom
energy relative to the lowest polymorph listed for this composition	687	meV per atom
space group	P4/mmm
spin magnetization	0.000	μB/f.u.

Cell lengths 5.2177, 5.2177, 3.9880 Å; angles 90.00, 90.00, 90.00 degrees
With the nearest neighbours (Å) after each atom.
Sites, in units of the cell vectors:
1 Ba 0.0000 0.0000 0.0000  8 Te 3.28
2 Te 0.0000 0.5000 0.5000  4 Ba 3.28, 4 Ir 3.28
3 Te 0.5000 0.0000 0.5000  4 Ba 3.28, 4 Ir 3.28
4 Ir 0.5000 0.5000 0.0000  8 Te 3.28

***

Entry 10:
DFT (PBE) results for a relaxed structure of BaTe2Ir.

Calculated values
raw total energy	-4.503	eV per atom
energy relative to the lowest polymorph listed for this composition	458	meV per atom
space group	P4mm
spin magnetization	0.000	μB/f.u.

Cell lengths 3.9905, 3.9905, 7.3936 Å; angles 90.00, 90.00, 90.00 degrees
With the nearest neighbours (Å) after each atom.
Sites, in units of the cell vectors:
1 Ba 0.0000 0.0000 0.0000  5 Te 3.34-3.38
2 Te 0.0000 0.0000 0.4572  4 Ir 2.85
3 Te 0.5000 0.5000 0.7573  1 Ir 2.64
4 Ir 0.5000 0.5000 0.4004  5 Te 2.64-2.85

***

Entry 11:
DFT (PBE) results for a relaxed structure of BaTe4Ir.

Calculated values
raw total energy	-3.467	eV per atom
space group	F-43m
spin magnetization	2.358	μB/f.u.

Cell lengths 6.4041, 6.4041, 6.4041 Å; angles 60.00, 60.00, 60.00 degrees
With the nearest neighbours (Å) after each atom.
Sites, in units of the cell vectors:
1 Ba 0.0000 0.0000 0.0000  12 Te 3.76, 4 Ir 3.92
2 Te 0.3771 0.3771 0.3771  6 Te 3.15-3.26
3 Te 0.3771 0.3771 0.8687  6 Te 3.15-3.26
4 Te 0.3771 0.8687 0.3771  6 Te 3.15-3.26
5 Te 0.8687 0.3771 0.3771  6 Te 3.15-3.26
6 Ir 0.7500 0.7500 0.7500  12 Te 3.75, 4 Ba 3.92

***

Entry 12:
DFT (PBE) results for a relaxed structure of BaTe3Ir.

Calculated values
raw total energy	-2.569	eV per atom
energy relative to the lowest polymorph listed for this composition	1879	meV per atom
space group	Pm-3m
spin magnetization	7.000	μB/f.u.

Cell lengths 6.6084, 6.6084, 6.6084 Å; angles 90.00, 90.00, 90.00 degrees
With the nearest neighbours (Å) after each atom.
Sites, in units of the cell vectors:
1 Ba 0.0000 0.0000 0.0000  6 Te 3.30
2 Te 0.0000 0.0000 0.5000  2 Ba 3.30
3 Te 0.0000 0.5000 0.0000  2 Ba 3.30
4 Te 0.5000 0.0000 0.0000  2 Ba 3.30
5 Ir 0.5000 0.5000 0.5000  12 Te 4.67

***

Copy entry 2 word for word.
DFT (PBE) results for a relaxed structure of BaTe2Ir2.

Calculated values
raw total energy	-5.556	eV per atom
energy relative to the lowest polymorph listed for this composition	0	meV per atom
space group	I4/mmm
spin magnetization	0.000	μB/f.u.

Cell lengths 6.1161, 6.1161, 6.1161 Å; angles 132.52, 132.52, 69.41 degrees
With the nearest neighbours (Å) after each atom.
Sites, in units of the cell vectors:
1 Ba 0.0000 0.0000 0.0000  8 Te 3.52, 10 Ir 3.67-3.74
2 Te 0.2500 0.7500 0.5000  4 Ir 2.72
3 Te 0.7500 0.2500 0.5000  4 Ir 2.72
4 Ir 0.3651 0.3651 0.0000  1 Ir 2.71, 4 Te 2.72
5 Ir 0.6349 0.6349 0.0000  1 Ir 2.71, 4 Te 2.72